(1)
Material: SiHgPt2
Method: DFT, PBE-GGA
State: optimized geometry

Computed properties:
SG: No. 123
Total magnetization, μB per formula unit: 0.000
Polymorph energy (0 for the lowest one), meV per atom: 352
Uncorrected formation energy, eV per atom: 0.05
Volume, Å³/cell: 66

a b c (Å): 2.941 4.752 4.752
angles (deg): 90.00 90.00 90.00
Fractional positions:
Hg 0.500 0.000 0.500
Pt 0.000 0.000 0.000
Pt 0.000 0.500 0.500
Si 0.500 0.500 0.000


(2)
Material: SiHg2Pt
Method: DFT, PBE-GGA
State: optimized geometry

Computed properties:
SG: No. 12
Total magnetization, μB per formula unit: 0.000
Uncorrected formation energy, eV per atom: -0.04
Volume, Å³/cell: 91

a b c (Å): 8.444 8.444 4.048
angles (deg): 103.59 103.59 18.96
Fractional positions:
Hg 0.073 0.073 0.070
Pt 0.750 0.750 0.750
Hg 0.427 0.427 0.430
Si 0.250 0.250 0.250


Which formula does entry 2 have? SiHg2Pt


Which value of total magnetization does entry 2 give? 0.000 μB per formula unit